LiSbWO7 GGA+U optimized geometry; final energy = -122.9 eV/cell; D(E_F) = 0.194 states/eV per atom; space-group type = Imma, No. 74; total magnetic moment = 0.20 μB per atom
1.0
2.263 6.869 1.329
-6.895 1.824 1.786
3.322 -5.595 3.424
Li Sb W O
2 2 2 14
Direct
0.000 0.500 0.500
0.500 0.500 0.000
0.000 0.500 0.000
0.000 0.000 0.500
0.500 0.000 0.500
0.000 0.000 0.000
0.703 0.453 0.250
0.297 0.547 0.750
0.318 0.067 0.631
0.318 0.687 0.251
0.305 0.055 0.250
0.936 0.687 0.869
0.936 0.067 0.249
0.921 0.671 0.250
0.682 0.933 0.369
0.682 0.313 0.749
0.695 0.945 0.750
0.064 0.313 0.131
0.064 0.933 0.751
0.079 0.329 0.750